# 1
# Ho3NpAg3Te8, relaxed, DFT PBE-GGA
data_Ho3NpAg3Te8
_chemical_formula_sum 'Ho6 Np2 Ag6 Te16'
_cell_length_a 14.842
_cell_length_b 8.774
_cell_length_c 8.644
_cell_angle_alpha 90.00
_cell_angle_beta 124.18
_cell_angle_gamma 90.00
_space_group_name_H-M_alt 'C 1 2/m 1'
_space_group_IT_number 12
loop_
_space_group_symop_operation_xyz
'x,y,z'
'-x,-y,-z'
'-x,y,-z'
'x,-y,z'
'x+1/2,y+1/2,z'
'-x+1/2,-y+1/2,-z'
'-x+1/2,y+1/2,-z'
'x+1/2,-y+1/2,z'
loop_
_atom_site_label
_atom_site_type_symbol
_atom_site_fract_x
_atom_site_fract_y
_atom_site_fract_z
_atom_site_occupancy
Ho1 Ho 0.000 0.000 0.000 1
Ho2 Ho 0.250 0.250 0.500 1
Np1 Np 0.000 0.500 0.000 1
Ag1 Ag 0.000 0.500 0.500 1
Ag2 Ag 0.250 0.250 0.000 1
Te1 Te 0.000 0.249 0.250 1
Te2 Te 0.248 0.500 0.751 1
Te3 Te 0.249 0.000 0.748 1
# **Magnetization**: 6.0 Bohr magnetons per cell
# **Formation energy (no corrections)**: -769 meV/atom
# **DFT total energy**: -143.8 eV per cell

***

# 2
# Ho2AgO, relaxed, DFT PBE-GGA
data_Ho2AgO
_chemical_formula_sum 'Ho6 Ag3 O3'
_cell_length_a 3.3605
_cell_length_b 3.3605
_cell_length_c 25.9569
_cell_angle_alpha 90.00
_cell_angle_beta 90.00
_cell_angle_gamma 120.00
_space_group_name_H-M_alt 'R -3 m'
_space_group_IT_number 166
_space_group_name_Hall '-R 3 2"'
loop_
_atom_site_label
_atom_site_type_symbol
_atom_site_fract_x
_atom_site_fract_y
_atom_site_fract_z
_atom_site_occupancy
Ho1 Ho 0.0000 0.0000 0.1133 1
Ag1 Ag 0.0000 0.0000 0.0000 1
O1 O 0.0000 0.0000 0.5000 1
# **Magnetization**: 0.0 Bohr magnetons per cell
# **Formation energy (no corrections)**: -1090 meV/atom
# **DFT total energy**: -64.0 eV per cell